[1]
A plane-wave DFT calculation with PBE was carried out for an optimized crystal structure of LiCeMg2Cd4.

Cell lengths 4.930, 4.930, 9.065 Å; angles 74.22, 74.22, 60.00 degrees
Atoms (fractional coordinates):
Li 0.500 0.500 0.500
Ce 0.000 0.000 0.000
Mg 0.751 0.751 0.748
Mg 0.249 0.249 0.252
Cd 0.389 0.389 0.832
Cd 0.870 0.870 0.390
Cd 0.130 0.130 0.610
Cd 0.611 0.611 0.168

Properties
The calculation puts the size of the total moment at 0.93 μB per cell. The crystal system is trigonal. The density of states at the Fermi level comes out at 9.4 states/eV/f.u. For the raw total energy, the calculation gives -2.02 eV/atom. As for the energy of formation: -0.184 eV/atom.

---

[2]
A plane-wave DFT calculation with PBE was carried out for an optimized crystal structure of LiCeCdNi.

Cell lengths 4.730, 4.730, 4.730 Å; angles 60.00, 60.00, 60.00 degrees
Atoms (fractional coordinates):
Ni 0.500 0.500 0.500
Li 0.000 0.000 0.000
Ce 0.250 0.250 0.250
Cd 0.750 0.750 0.750

Properties
The calculation puts the size of the total moment at 0.11 μB per cell. The crystal system is cubic. The density of states at the Fermi level comes out at 7.1 states/eV/f.u. For the raw total energy, the calculation gives -3.77 eV/atom. As for the energy of formation: -0.129 eV/atom.

---

Copy entry 1 word for word.
A plane-wave DFT calculation with PBE was carried out for an optimized crystal structure of LiCeMg2Cd4.

Cell lengths 4.930, 4.930, 9.065 Å; angles 74.22, 74.22, 60.00 degrees
Atoms (fractional coordinates):
Li 0.500 0.500 0.500
Ce 0.000 0.000 0.000
Mg 0.751 0.751 0.748
Mg 0.249 0.249 0.252
Cd 0.389 0.389 0.832
Cd 0.870 0.870 0.390
Cd 0.130 0.130 0.610
Cd 0.611 0.611 0.168

Properties
The calculation puts the size of the total moment at 0.93 μB per cell. The crystal system is trigonal. The density of states at the Fermi level comes out at 9.4 states/eV/f.u. For the raw total energy, the calculation gives -2.02 eV/atom. As for the energy of formation: -0.184 eV/atom.

---

> Among the records above, which one has the highest energy of formation?

LiCeCdNi

---

> What is the size of the total moment in the second record?

0.11 μB per cell